Here is a relaxed Tb4SmTe5 crystal from the Alexandria database. Energies are from GGA-PBE.

```
data_Tb4SmTe5
_chemical_formula_sum 'Tb8 Sm2 Te10'
_cell_length_a 14.554
_cell_length_b 4.387
_cell_length_c 10.742
_cell_angle_alpha 90.00
_cell_angle_beta 119.56
_cell_angle_gamma 90.00
_space_group_name_H-M_alt 'C 1 2/m 1'
_space_group_IT_number 12
loop_
_space_group_symop_operation_xyz
'x,y,z'
'-x,-y,-z'
'-x,y,-z'
'x,-y,z'
'x+1/2,y+1/2,z'
'-x+1/2,-y+1/2,-z'
'-x+1/2,y+1/2,-z'
'x+1/2,-y+1/2,z'
loop_
_atom_site_label
_atom_site_type_symbol
_atom_site_fract_x
_atom_site_fract_y
_atom_site_fract_z
_atom_site_occupancy
Tb1 Tb 0.099 0.000 0.397 1
Tb2 Tb 0.203 0.500 0.800 1
Sm1 Sm 0.000 0.500 0.000 1
Te1 Te 0.000 0.500 0.500 1
Te2 Te 0.103 0.000 0.898 1
Te3 Te 0.202 0.500 0.304 1
```

- raw total energy (eV/f.u.) = -52.208
- uncorrected formation energy (eV/atom) = -1.326

---

Here is a relaxed Tb4Sm2Te9 crystal from the Alexandria database. Energies are from GGA-PBE.

```
data_Tb4Sm2Te9
_chemical_formula_sum 'Tb16 Sm8 Te36'
_cell_length_a 13.460
_cell_length_b 7.770
_cell_length_c 21.246
_cell_angle_alpha 90.00
_cell_angle_beta 90.00
_cell_angle_gamma 90.00
_space_group_name_H-M_alt 'C 1 2/c 1'
_space_group_IT_number 15
loop_
_space_group_symop_operation_xyz
'x,y,z'
'-x,-y,-z'
'-x,y,-z+1/2'
'x,-y,z+1/2'
'x+1/2,y+1/2,z'
'-x+1/2,-y+1/2,-z'
'-x+1/2,y+1/2,-z+1/2'
'x+1/2,-y+1/2,z+1/2'
loop_
_atom_site_label
_atom_site_type_symbol
_atom_site_fract_x
_atom_site_fract_y
_atom_site_fract_z
_atom_site_occupancy
Tb1 Tb 0.167 0.000 0.010 1
Tb2 Tb 0.167 0.000 0.323 1
Sm1 Sm 0.000 0.500 0.155 1
Te1 Te 0.000 0.185 0.250 1
Te2 Te 0.010 0.150 0.917 1
Te3 Te 0.158 0.342 0.750 1
Te4 Te 0.170 0.311 0.417 1
Te5 Te 0.180 0.340 0.083 1
```

- raw total energy (eV/f.u.) = -76.806
- uncorrected formation energy (eV/atom) = -1.371

---

Here is a relaxed Tb5Sm2Te4 crystal from the Alexandria database. Energies are from GGA-PBE.

```
data_Tb5Sm2Te4
_chemical_formula_sum 'Tb10 Sm4 Te8'
_cell_length_a 25.441
_cell_length_b 3.914
_cell_length_c 7.318
_cell_angle_alpha 90.00
_cell_angle_beta 94.83
_cell_angle_gamma 90.00
_space_group_name_H-M_alt 'C 1 2/m 1'
_space_group_IT_number 12
loop_
_space_group_symop_operation_xyz
'x,y,z'
'-x,-y,-z'
'-x,y,-z'
'x,-y,z'
'x+1/2,y+1/2,z'
'-x+1/2,-y+1/2,-z'
'-x+1/2,y+1/2,-z'
'x+1/2,-y+1/2,z'
loop_
_atom_site_label
_atom_site_type_symbol
_atom_site_fract_x
_atom_site_fract_y
_atom_site_fract_z
_atom_site_occupancy
Tb1 Tb 0.000 0.000 0.000 1
Tb2 Tb 0.143 0.500 0.154 1
Tb3 Tb 0.236 0.500 0.781 1
Sm1 Sm 0.089 0.500 0.683 1
Te1 Te 0.033 0.500 0.297 1
Te2 Te 0.171 0.000 0.497 1
```

- raw total energy (eV/f.u.) = -53.079
- uncorrected formation energy (eV/atom) = -0.720

---

Here is a relaxed Tb5Sm3Te8 crystal from the Alexandria database. Energies are from GGA-PBE.

```
data_Tb5Sm3Te8
_chemical_formula_sum 'Tb15 Sm9 Te24'
_cell_length_a 8.7907
_cell_length_b 8.7907
_cell_length_c 21.5982
_cell_angle_alpha 90.00
_cell_angle_beta 90.00
_cell_angle_gamma 120.00
_space_group_name_H-M_alt 'R -3 m'
_space_group_IT_number 166
_space_group_name_Hall '-R 3 2"'
loop_
_atom_site_label
_atom_site_type_symbol
_atom_site_fract_x
_atom_site_fract_y
_atom_site_fract_z
_atom_site_occupancy
Tb1 Tb 0.0000 0.0000 0.0000 1
Tb2 Tb 0.0000 0.0000 0.5000 1
Tb3 Tb 0.0000 0.5000 0.0000 1
Sm1 Sm 0.0000 0.5000 0.5000 1
Te1 Te 0.0000 0.0000 0.2521 1
Te2 Te 0.0027 0.5014 0.2514 1
```

- raw total energy (eV/f.u.) = -83.780
- uncorrected formation energy (eV/atom) = -1.334

---

Here is a relaxed TbSm4Te7 crystal from the Alexandria database. Energies are from GGA-PBE.

```
data_TbSm4Te7
_chemical_formula_sum 'Tb2 Sm8 Te14'
_cell_length_a 14.528
_cell_length_b 4.307
_cell_length_c 13.348
_cell_angle_alpha 90.00
_cell_angle_beta 104.34
_cell_angle_gamma 90.00
_space_group_name_H-M_alt 'C 1 m 1'
_space_group_IT_number 8
loop_
_space_group_symop_operation_xyz
'x,y,z'
'x,-y,z'
'x+1/2,y+1/2,z'
'x+1/2,-y+1/2,z'
loop_
_atom_site_label
_atom_site_type_symbol
_atom_site_fract_x
_atom_site_fract_y
_atom_site_fract_z
_atom_site_occupancy
Tb1 Tb 0.000 0.000 0.000 1
Sm1 Sm 0.115 0.000 0.423 1
Sm2 Sm 0.230 0.000 0.849 1
Sm3 Sm 0.316 0.500 0.235 1
Sm4 Sm 0.415 0.000 0.613 1
Te1 Te 0.078 0.000 0.640 1
Te2 Te 0.113 0.500 0.925 1
Te3 Te 0.152 0.000 0.205 1
Te4 Te 0.277 0.500 0.472 1
Te5 Te 0.359 0.500 0.776 1
Te6 Te 0.376 0.000 0.074 1
Te7 Te 0.454 0.000 0.376 1
```

- raw total energy (eV/f.u.) = -62.456
- uncorrected formation energy (eV/atom) = -1.413

---

Here is a relaxed TbSm5Te5 crystal from the Alexandria database. Energies are from GGA-PBE.

```
data_TbSm5Te5
_chemical_formula_sum 'Tb2 Sm10 Te10'
_cell_length_a 13.799
_cell_length_b 6.203
_cell_length_c 8.733
_cell_angle_alpha 90.00
_cell_angle_beta 108.76
_cell_angle_gamma 90.00
_space_group_name_H-M_alt 'C 1 2/m 1'
_space_group_IT_number 12
loop_
_space_group_symop_operation_xyz
'x,y,z'
'-x,-y,-z'
'-x,y,-z'
'x,-y,z'
'x+1/2,y+1/2,z'
'-x+1/2,-y+1/2,-z'
'-x+1/2,y+1/2,-z'
'x+1/2,-y+1/2,z'
loop_
_atom_site_label
_atom_site_type_symbol
_atom_site_fract_x
_atom_site_fract_y
_atom_site_fract_z
_atom_site_occupancy
Tb1 Tb 0.000 0.000 0.000 1
Sm1 Sm 0.000 0.000 0.500 1
Sm2 Sm 0.156 0.500 0.806 1
Sm3 Sm 0.168 0.500 0.341 1
Te1 Te 0.000 0.500 0.000 1
Te2 Te 0.163 0.000 0.328 1
Te3 Te 0.173 0.000 0.845 1
```

- raw total energy (eV/f.u.) = -56.925
- uncorrected formation energy (eV/atom) = -1.181

---

Here is a relaxed TbSmTe crystal from the Alexandria database. Energies are from GGA-PBE.

```
data_TbSmTe
_chemical_formula_sum 'Tb4 Sm4 Te4'
_cell_length_a 8.359
_cell_length_b 4.018
_cell_length_c 10.697
_cell_angle_alpha 90.00
_cell_angle_beta 90.00
_cell_angle_gamma 90.00
_space_group_name_H-M_alt 'P n m a'
_space_group_IT_number 62
loop_
_space_group_symop_operation_xyz
'x,y,z'
'-x,-y,-z'
'-x+1/2,-y,z+1/2'
'x+1/2,y,-z+1/2'
'x+1/2,-y+1/2,-z+1/2'
'-x+1/2,y+1/2,z+1/2'
'-x,y+1/2,-z'
'x,-y+1/2,z'
loop_
_atom_site_label
_atom_site_type_symbol
_atom_site_fract_x
_atom_site_fract_y
_atom_site_fract_z
_atom_site_occupancy
Tb1 Tb 0.156 0.250 0.056 1
Sm1 Sm 0.000 0.250 0.666 1
Te1 Te 0.201 0.750 0.833 1
```

- energy above the lowest structure with this stoichiometry (eV/atom) = 0.0000
- raw total energy (eV/f.u.) = -15.171
- uncorrected formation energy (eV/atom) = -0.893

---

Here is a relaxed TbSm6Te8 crystal from the Alexandria database. Energies are from GGA-PBE.

```
data_TbSm6Te8
_chemical_formula_sum 'Tb4 Sm24 Te32'
_cell_length_a 12.515
_cell_length_b 12.515
_cell_length_c 12.515
_cell_angle_alpha 90.00
_cell_angle_beta 90.00
_cell_angle_gamma 90.00
_space_group_name_H-M_alt 'F m -3 m'
_space_group_IT_number 225
_space_group_name_Hall '-F 4 2 3'
loop_
_atom_site_label
_atom_site_type_symbol
_atom_site_fract_x
_atom_site_fract_y
_atom_site_fract_z
_atom_site_occupancy
Tb1 Tb 0.000 0.000 0.000 1
Sm1 Sm 0.000 0.250 0.250 1
Te1 Te 0.000 0.000 0.253 1
Te2 Te 0.250 0.250 0.250 1
```

- raw total energy (eV/f.u.) = -79.508
- uncorrected formation energy (eV/atom) = -1.429

---

Here is a relaxed TbSm3Te6 crystal from the Alexandria database. Energies are from GGA-PBE.

```
data_TbSm3Te6
_chemical_formula_sum 'Tb3 Sm9 Te18'
_cell_length_a 7.8277
_cell_length_b 7.8277
_cell_length_c 21.3513
_cell_angle_alpha 90.00
_cell_angle_beta 90.00
_cell_angle_gamma 120.00
_space_group_name_H-M_alt 'R 3'
_space_group_IT_number 146
_space_group_name_Hall 'R 3'
loop_
_atom_site_label
_atom_site_type_symbol
_atom_site_fract_x
_atom_site_fract_y
_atom_site_fract_z
_atom_site_occupancy
Tb1 Tb 0.0000 0.0000 0.0000 1
Sm1 Sm 0.0000 0.0000 0.3124 1
Sm2 Sm 0.0000 0.0000 0.5010 1
Sm3 Sm 0.0000 0.0000 0.8116 1
Te1 Te 0.0237 0.3504 0.0735 1
Te2 Te 0.0253 0.6685 0.5742 1
```

- raw total energy (eV/f.u.) = -51.391
- uncorrected formation energy (eV/atom) = -1.375

---

Here is a relaxed TbSm2Te3 crystal from the Alexandria database. Energies are from GGA-PBE.

```
data_TbSm2Te3
_chemical_formula_sum 'Tb2 Sm4 Te6'
_cell_length_a 4.447
_cell_length_b 6.231
_cell_length_c 13.225
_cell_angle_alpha 90.00
_cell_angle_beta 90.00
_cell_angle_gamma 90.00
_space_group_name_H-M_alt 'I m m m'
_space_group_IT_number 71
_space_group_name_Hall '-I 2 2'
loop_
_atom_site_label
_atom_site_type_symbol
_atom_site_fract_x
_atom_site_fract_y
_atom_site_fract_z
_atom_site_occupancy
Tb1 Tb 0.000 0.000 0.000 1
Sm1 Sm 0.000 0.000 0.328 1
Te1 Te 0.000 0.500 0.000 1
Te2 Te 0.000 0.500 0.338 1
```

- raw total energy (eV/f.u.) = -31.644
- uncorrected formation energy (eV/atom) = -1.358

---

Here is a relaxed TbSm4Te5 crystal from the Alexandria database. Energies are from GGA-PBE.

```
data_TbSm4Te5
_chemical_formula_sum 'Tb2 Sm8 Te10'
_cell_length_a 9.904
_cell_length_b 9.904
_cell_length_c 6.271
_cell_angle_alpha 90.00
_cell_angle_beta 90.00
_cell_angle_gamma 90.00
_space_group_name_H-M_alt 'I 4/m'
_space_group_IT_number 87
_space_group_name_Hall '-I 4'
loop_
_atom_site_label
_atom_site_type_symbol
_atom_site_fract_x
_atom_site_fract_y
_atom_site_fract_z
_atom_site_occupancy
Tb1 Tb 0.000 0.000 0.000 1
Sm1 Sm 0.095 0.307 0.500 1
Te1 Te 0.000 0.000 0.500 1
Te2 Te 0.103 0.293 0.000 1
```

- raw total energy (eV/f.u.) = -52.893
- uncorrected formation energy (eV/atom) = -1.368

---

Here is a relaxed TbSm3Te3 crystal from the Alexandria database. Energies are from GGA-PBE.

```
data_TbSm3Te3
_chemical_formula_sum 'Tb6 Sm18 Te18'
_cell_length_a 9.1064
_cell_length_b 9.1064
_cell_length_c 18.1536
_cell_angle_alpha 90.00
_cell_angle_beta 90.00
_cell_angle_gamma 120.00
_space_group_name_H-M_alt 'R -3'
_space_group_IT_number 148
_space_group_name_Hall '-R 3'
loop_
_atom_site_label
_atom_site_type_symbol
_atom_site_fract_x
_atom_site_fract_y
_atom_site_fract_z
_atom_site_occupancy
Tb1 Tb 0.0000 0.0000 0.1843 1
Sm1 Sm 0.0059 0.7529 0.4142 1
Te1 Te 0.0163 0.6162 0.5804 1
```

- raw total energy (eV/f.u.) = -35.739
- uncorrected formation energy (eV/atom) = -1.075